<one>
First-principles (PBE-GGA) data for a relaxed AcPr3Ho3 crystal, as listed in Alexandria via LeMat-Bulk.

Structure (extended XYZ):
```
28
Lattice="8.205 0.000 0.000 -1.628 10.874 0.000 -0.861 -0.701 10.977" Properties=species:S:1:pos:R:3 pbc="T T T"
Ac 0.000 0.000 0.000
Ac -1.617 8.370 7.699
Ac 0.048 7.366 10.942
Ac 5.729 0.308 7.721
Pr 0.897 5.639 7.709
Pr 1.692 3.933 4.618
Pr 2.529 2.192 1.532
Pr 2.480 -0.196 9.342
Pr 1.688 8.867 6.158
Pr 2.499 7.105 3.100
Pr 2.485 4.622 10.900
Pr 4.974 9.384 4.549
Pr 5.752 7.582 1.489
Pr 5.731 5.118 9.326
Pr 6.592 3.503 6.162
Pr 7.382 1.730 3.120
Ho -0.786 6.610 4.550
Ho 0.014 4.833 1.513
Ho 0.033 2.505 9.332
Ho 0.892 0.787 6.181
Ho 0.063 9.881 3.130
Ho 3.267 2.976 7.745
Ho 4.086 1.244 4.607
Ho 3.291 10.373 1.531
Ho 3.291 7.866 9.316
Ho 4.136 6.138 6.149
Ho 4.978 4.418 3.053
Ho 4.899 2.032 10.938
```

<two>
First-principles (PBE-GGA) data for a relaxed AcPr3Ho3 crystal, as listed in Alexandria via LeMat-Bulk.

Structure (extended XYZ):
```
14
Lattice="9.833 0.000 0.000 -4.917 8.516 0.000 0.000 0.000 5.911" Properties=species:S:1:pos:R:3 pbc="T T T"
Ac 0.000 5.677 1.478
Ac 4.917 2.839 4.433
Pr -1.379 3.989 4.433
Pr -0.773 7.715 4.433
Pr 2.765 3.188 1.478
Pr 2.151 5.327 4.433
Pr 5.689 0.801 1.478
Pr 6.295 4.527 1.478
Ho -0.701 1.939 1.478
Ho -2.887 8.153 1.478
Ho 1.329 1.577 4.433
Ho 3.588 6.939 1.478
Ho 7.803 0.362 4.433
Ho 5.618 6.577 4.433
```

Which one sits at the top of the stability order? <one> does.